Record 1
# BaSeI

A relaxed structure of BaSeI (GGA-PBE, Alexandria).

Properties
- E_tot: -11.53 eV/f.u.
- Calculated volume: 46.64 A^3/atom
- Space group: No. 12
- Formation energy (no corrections): -147 kJ/mol of atoms

Unit cell a=5.447 b=5.447 c=12.260 alpha=90.45 beta=90.45 gamma=50.31
Fractional coordinates of all 6 atoms:
Ba 0.047 0.047 0.177
Ba 0.953 0.953 0.823
Se 0.377 0.377 0.011
Se 0.623 0.623 0.989
I 0.260 0.260 0.677
I 0.740 0.740 0.323



Record 2
# Ba4SiSeI2

A relaxed structure of Ba4SiSeI2 (GGA-PBE, Alexandria).

Properties
- E_tot: -30.49 eV/f.u.
- Calculated volume: 43.31 A^3/atom
- Space group: No. 10
- Formation energy (no corrections): -130 kJ/mol of atoms

Unit cell a=8.432 b=4.884 c=8.876 alpha=90.00 beta=108.60 gamma=90.00
Fractional coordinates of all 8 atoms:
Ba 0.228 0.000 0.208
Ba 0.254 0.500 0.797
Ba 0.746 0.500 0.203
Ba 0.772 0.000 0.792
Si 0.000 0.500 0.000
Se 0.500 0.000 0.000
I 0.000 0.000 0.500
I 0.500 0.500 0.500



Record 3
# Ba2SnSe2I2

A relaxed structure of Ba2SnSe2I2 (GGA-PBE, Alexandria).

Properties
- E_tot: -27.52 eV/f.u.
- Calculated volume: 40.05 A^3/atom
- Space group: No. 139
- Formation energy (no corrections): -132 kJ/mol of atoms

Unit cell a=9.693 b=9.693 c=9.693 alpha=146.22 beta=146.22 gamma=48.52
Fractional coordinates of all 7 atoms:
Ba 0.113 0.113 0.000
Ba 0.887 0.887 0.000
Sn 0.500 0.500 0.000
Se 0.000 0.500 0.500
Se 0.500 0.000 0.500
I 0.312 0.312 0.000
I 0.688 0.688 0.000



Record 4
# Ba4SnSeI2

A relaxed structure of Ba4SnSeI2 (GGA-PBE, Alexandria).

Properties
- E_tot: -29.56 eV/f.u.
- Calculated volume: 45.07 A^3/atom
- Space group: No. 10
- Formation energy (no corrections): -136 kJ/mol of atoms

Unit cell a=8.574 b=4.997 c=8.909 alpha=90.00 beta=109.13 gamma=90.00
Fractional coordinates of all 8 atoms:
Ba 0.237 0.000 0.209
Ba 0.259 0.500 0.782
Ba 0.741 0.500 0.218
Ba 0.763 0.000 0.791
Sn 0.500 0.000 0.000
Se 0.000 0.500 0.000
I 0.000 0.000 0.500
I 0.500 0.500 0.500



Record 5
# Ba2SrSe2I2

A relaxed structure of Ba2SrSe2I2 (GGA-PBE, Alexandria).

Properties
- E_tot: -28.22 eV/f.u.
- Calculated volume: 42.13 A^3/atom
- Space group: No. 139
- Formation energy (no corrections): -174 kJ/mol of atoms

Unit cell a=9.687 b=9.687 c=9.687 alpha=145.19 beta=145.19 gamma=50.06
Fractional coordinates of all 7 atoms:
Ba 0.112 0.112 0.000
Ba 0.888 0.888 0.000
Sr 0.500 0.500 0.000
Se 0.000 0.500 0.500
Se 0.500 0.000 0.500
I 0.309 0.309 0.000
I 0.691 0.691 0.000



Record 6
# Ba4Te2SeI

A relaxed structure of Ba4Te2SeI (GGA-PBE, Alexandria).

Properties
- E_tot: -32.95 eV/f.u.
- Calculated volume: 42.16 A^3/atom
- Space group: No. 10
- Formation energy (no corrections): -168 kJ/mol of atoms

Unit cell a=8.470 b=4.924 c=8.579 alpha=90.00 beta=109.47 gamma=90.00
Fractional coordinates of all 8 atoms:
Ba 0.245 0.000 0.234
Ba 0.255 0.500 0.765
Ba 0.745 0.500 0.235
Ba 0.755 0.000 0.766
Te 0.000 0.000 0.500
Te 0.000 0.500 0.000
Se 0.500 0.000 0.000
I 0.500 0.500 0.500



Question: Number 2 is which compound?
Answer: Ba4SiSeI2